Entry 1:
The following is a DFT calculation (PBE-GGA) of a relaxed structure of BiPd6Pt23.

The space group is I4/mmm (No. 139) and the conventional cell measures 7.9195, 7.9195 and 15.7177 Å, with angles of 90.00, 90.00 and 90.00 degrees. The inequivalent atoms are Bi at (0.0000, 0.0000, 0.0000), Pd at (0.0000, 0.0000, 0.2479), Pd at (0.2490, 0.2490, 0.5000), Pt at (0.0000, 0.0000, 0.5000), Pt at (0.0000, 0.2503, 0.3717), Pt at (0.0000, 0.2635, 0.1322), Pt at (0.0000, 0.5000, 0.0000) and Pt at (0.2500, 0.2500, 0.2500).

Entry 2:
The following is a DFT calculation (PBE-GGA) of a relaxed structure of Zn2SiMo.

The calculation puts the uncorrected formation energy at 0.06 eV/atom.

The space group is C2/m (No. 12) and the conventional cell measures 5.2161, 9.6361 and 2.7248 Å, with angles of 90.00, 120.04 and 90.00 degrees. The inequivalent atoms are Zn at (0.2500, 0.2500, 0.0000), Si at (0.0000, 0.0000, 0.0000) and Mo at (0.0000, 0.5000, 0.0000).

Entry 3:
The following is a DFT calculation (PBE-GGA) of a relaxed structure of BaAsW4.

The space group is F-43m (No. 216) and the conventional cell measures 7.8662, 7.8662 and 7.8662 Å, with angles of 90.00, 90.00 and 90.00 degrees. The inequivalent atoms are Ba at (0.0000, 0.0000, 0.0000), As at (0.2500, 0.2500, 0.2500) and W at (0.1250, 0.1250, 0.6250).

Entry 4:
The following is a DFT calculation (PBE-GGA) of a relaxed structure of LiYGe2Pd.

The space group is I-4m2 (No. 119) and the conventional cell measures 4.0616, 4.0616 and 10.9636 Å, with angles of 90.00, 90.00 and 90.00 degrees. The inequivalent atoms are Li at (0.0000, 0.0000, 0.0000), Y at (0.0000, 0.5000, 0.2500), Ge at (0.0000, 0.5000, 0.6382) and Pd at (0.0000, 0.0000, 0.5000).

Entry 5:
The following is a DFT calculation (PBE-GGA) of a relaxed structure of SrMn2Re.

As for the excess energy over the best structure of this formula in the dataset: 0.4172 eV per atom.

The space group is Cmmm (No. 65) and the conventional cell measures 6.1103, 8.0609 and 2.8793 Å, with angles of 90.00, 90.00 and 90.00 degrees. The inequivalent atoms are Sr at (0.0000, 0.0000, 0.0000), Mn at (0.2500, 0.2500, 0.5000) and Re at (0.0000, 0.5000, 0.0000).

Entry 6:
The following is a DFT calculation (PBE-GGA) of a relaxed structure of Zr2PaS6.

As for the excess energy over the best structure of this formula in the dataset: 0.0301 eV per atom. The calculation puts the uncorrected formation energy at -1.45 eV/atom.

The space group is C2/m (No. 12) and the conventional cell measures 12.4700, 4.9049 and 8.3075 Å, with angles of 90.00, 122.24 and 90.00 degrees. The inequivalent atoms are Zr at (0.1888, 0.0000, 0.0835), Pa at (0.0000, 0.0000, 0.5000), S at (0.0352, 0.0000, 0.2129), S at (0.1320, 0.5000, 0.5661) and S at (0.2398, 0.5000, 0.1594).

Entry 7:
The following is a DFT calculation (PBE-GGA) of a relaxed structure of TbPaFeN4.

The calculation puts the uncorrected formation energy at -1.02 eV/atom.

The space group is I4mm (No. 107) and the conventional cell measures 3.7085, 3.7085 and 12.0156 Å, with angles of 90.00, 90.00 and 90.00 degrees. The inequivalent atoms are Tb at (0.0000, 0.0000, 0.0000), Pa at (0.0000, 0.0000, 0.7185), Fe at (0.0000, 0.0000, 0.3605), N at (0.0000, 0.0000, 0.1884), N at (0.0000, 0.0000, 0.5382) and N at (0.0000, 0.5000, 0.3530).

Entry 8:
The following is a DFT calculation (PBE-GGA) of a relaxed structure of PmMg6Ag12.

The space group is R-3m (No. 166, hexagonal axes) and the conventional cell measures 12.0715, 12.0715 and 9.3981 Å, with angles of 90.00, 90.00 and 120.00 degrees. The inequivalent atoms are Pm at (0.0000, 0.0000, 0.0000), Mg at (0.0540, 0.5270, 0.2432), Ag at (0.0000, 0.3870, 0.5000) and Ag at (0.0820, 0.1639, 0.2849).

Entry 9:
The following is a DFT calculation (PBE-GGA) of a relaxed structure of ScCu2F.

As for the excess energy over the best structure of this formula in the dataset: 0.5392 eV per atom. The calculation puts the uncorrected formation energy at -0.28 eV/atom.

The space group is Fm-3m (No. 225) and the conventional cell measures 6.2226, 6.2226 and 6.2226 Å, with angles of 90.00, 90.00 and 90.00 degrees. The inequivalent atoms are Sc at (0.0000, 0.0000, 0.0000), Cu at (0.2500, 0.2500, 0.2500) and F at (0.0000, 0.0000, 0.5000).

Entry 10:
The following is a DFT calculation (PBE-GGA) of a relaxed structure of CsMg3Te.

As for the excess energy over the best structure of this formula in the dataset: 0.7979 eV per atom. The calculation puts the uncorrected formation energy at 1.07 eV/atom.

The space group is Pm-3m (No. 221) and the conventional cell measures 7.2109, 7.2109 and 7.2109 Å, with angles of 90.00, 90.00 and 90.00 degrees. The inequivalent atoms are Cs at (0.0000, 0.0000, 0.0000), Mg at (0.0000, 0.0000, 0.5000) and Te at (0.5000, 0.5000, 0.5000).

Entry 11:
The following is a DFT calculation (PBE-GGA) of a relaxed structure of TlCd2BiBr8.

The calculation puts the uncorrected formation energy at -0.77 eV/atom.

The space group is P-1 (No. 2) and the conventional cell measures 6.9030, 6.9164 and 9.5245 Å, with angles of 81.12, 80.83 and 81.11 degrees. The inequivalent atoms are Tl at (0.0000, 0.0000, 0.0000), Cd at (0.4404, 0.4442, 0.2223), Bi at (0.0000, 0.0000, 0.5000), Br at (0.1864, 0.7463, 0.7269), Br at (0.2632, 0.8217, 0.2711), Br at (0.2724, 0.2838, 0.4821) and Br at (0.3178, 0.3292, 0.0016).

Entry 12:
The following is a DFT calculation (PBE-GGA) of a relaxed structure of CaZrIn2.

The space group is I-42d (No. 122) and the conventional cell measures 8.1603, 8.1603 and 6.6835 Å, with angles of 90.00, 90.00 and 90.00 degrees. The inequivalent atoms are Ca at (0.0000, 0.0000, 0.0000), Zr at (0.0000, 0.0000, 0.5000) and In at (0.2357, 0.7500, 0.6250).

no.,electronic total energy (eV per atom),M_tot (Bohr magnetons per cell)
1,-5.8046,0.002
2,-4.6427,0.000
3,-8.6065,0.000
4,-5.3151,0.000
5,-7.1451,13.448
6,-7.1526,0.311
7,-9.0027,4.111
8,-2.5872,0.000
9,-4.3788,0.000
10,-0.6883,1.000
11,-2.5546,0.000
12,-3.8889,0.000